{"formula": "KIrCl", "functional": "GGA-PBE", "state": "relaxed", "cell": [[3.0739, 0.0000, 0.0000], [0.0000, 3.0739, 0.0000], [0.0000, 0.0000, 13.5268]], "species": ["K", "K", "Ir", "Ir", "Cl", "Cl"], "fractional_positions": [[0.0000, 0.0000, 0.0000], [0.5000, 0.5000, 0.5000], [0.0000, 0.0000, 0.3037], [0.5000, 0.5000, 0.8037], [0.0000, 0.0000, 0.6621], [0.5000, 0.5000, 0.1621]], "crystal_system": "tetragonal", "e_above_lowest_polymorph_mev_per_atom": 1112, "raw_formation_energy_ev_per_atom": 0.5254, "final_energy_ry_per_atom": -0.2506, "m_tot_mub_per_atom": 0.507}